[1]
This record from Alexandria describes crystalline ZrTc2Se at its relaxed geometry. The functional is PBE.

Computed properties:
M_tot: 0.0 μB/f.u.
Final energy: -8.2212 eV/atom

Cell lengths 3.174, 4.685, 4.672 Å; angles 90.00, 91.28, 90.00 degrees
Space group P2/m (No. 10)
Inequivalent atoms, fractional coordinates:
Zr1 0.000 0.000 0.000 [1 per cell]
Tc1 0.341 0.500 0.756 [2 per cell]
Se1 0.500 0.000 0.500 [1 per cell]


[2]
This record from Alexandria describes crystalline ZrTc2Se at its relaxed geometry. The functional is PBE.

Computed properties:
M_tot: 0.1 μB/f.u.
Final energy: -7.9909 eV/atom

Cell lengths 6.450, 6.450, 6.450 Å; angles 90.00, 90.00, 90.00 degrees
Space group F-43m (No. 216)
Inequivalent atoms, fractional coordinates:
Zr1 0.000 0.000 0.000 [4 per cell]
Tc1 0.000 0.000 0.500 [4 per cell]
Tc2 0.250 0.250 0.250 [4 per cell]
Se1 0.250 0.250 0.750 [4 per cell]


[3]
This record from Alexandria describes crystalline ZrTc2Se at its relaxed geometry. The functional is PBE.

Computed properties:
M_tot: 0.0 μB/f.u.
Final energy: -8.1424 eV/atom

Cell lengths 3.153, 4.180, 5.215 Å; angles 90.00, 90.00, 90.00 degrees
Space group Pmmm (No. 47)
Inequivalent atoms, fractional coordinates:
Zr1 0.000 0.000 0.000 [1 per cell]
Tc1 0.500 0.500 0.267 [2 per cell]
Se1 0.000 0.000 0.500 [1 per cell]


[4]
This record from Alexandria describes crystalline ZrTc2Se at its relaxed geometry. The functional is PBE.

Computed properties:
M_tot: 0.0 μB/f.u.
Final energy: -8.0796 eV/atom

Cell lengths 3.0179, 3.0179, 25.9664 Å; angles 90.00, 90.00, 120.00 degrees
Space group R3m (No. 160, hexagonal axes)
Inequivalent atoms, fractional coordinates:
Zr1 0.0000 0.0000 0.0000 [3 per cell]
Tc1 0.0000 0.0000 0.5012 [3 per cell]
Tc2 0.0000 0.0000 0.7581 [3 per cell]
Se1 0.0000 0.0000 0.2460 [3 per cell]


[5]
This record from Alexandria describes crystalline ZrTc3Se at its relaxed geometry. The functional is PBE.

Computed properties:
M_tot: 0.0 μB/f.u.
ΔE to the lowest computed polymorph: 0 meV per atom
Final energy: -8.0702 eV/atom

Cell lengths 4.529, 4.529, 4.529 Å; angles 90.00, 90.00, 90.00 degrees
Space group Pm-3m (No. 221)
Inequivalent atoms, fractional coordinates:
Zr1 0.000 0.000 0.000 [1 per cell]
Tc1 0.000 0.500 0.500 [3 per cell]
Se1 0.500 0.500 0.500 [1 per cell]


[6]
This record from Alexandria describes crystalline ZrTc2Se at its relaxed geometry. The functional is PBE.

Computed properties:
M_tot: 0.0 μB/f.u.
Final energy: -8.3078 eV/atom

Cell lengths 3.090, 4.554, 9.385 Å; angles 90.00, 90.00, 90.00 degrees
Space group Immm (No. 71)
Inequivalent atoms, fractional coordinates:
Zr1 0.000 0.000 0.000 [2 per cell]
Tc1 0.000 0.500 0.220 [4 per cell]
Se1 0.000 0.000 0.500 [2 per cell]


[7]
This record from Alexandria describes crystalline ZrTc2Se at its relaxed geometry. The functional is PBE.

Computed properties:
M_tot: 0.0 μB/f.u.
Final energy: -8.2735 eV/atom

Cell lengths 3.206, 4.507, 9.119 Å; angles 90.00, 90.00, 90.00 degrees
Space group Imm2 (No. 44)
Inequivalent atoms, fractional coordinates:
Zr1 0.000 0.000 0.000 [2 per cell]
Tc1 0.000 0.000 0.490 [2 per cell]
Tc2 0.000 0.500 0.233 [2 per cell]
Se1 0.000 0.500 0.759 [2 per cell]


[8]
This record from Alexandria describes crystalline ZrTc2Se at its relaxed geometry. The functional is PBE.

Computed properties:
M_tot: 0.0 μB/f.u.
Final energy: -8.2509 eV/atom

Cell lengths 3.735, 3.735, 9.679 Å; angles 90.00, 90.00, 90.00 degrees
Space group I4/mmm (No. 139)
Inequivalent atoms, fractional coordinates:
Zr1 0.000 0.000 0.000 [2 per cell]
Tc1 0.000 0.500 0.250 [4 per cell]
Se1 0.000 0.000 0.500 [2 per cell]